First-principles (PBE with a Hubbard U) data for an optimized crystal structure of NiAuOF2, as listed in Alexandria.

**Symmetry**: P4/mmm, No. 123
**Crystal system**: tetragonal
**Mass density**: 8.4 g/cm³
**Size of the total moment**: 1.70 Bohr magnetons per cell
**VASP energy**: -3.665 eV per atom

Unit cell a=3.850 b=3.850 c=4.120 alpha=90.00 beta=90.00 gamma=90.00
Sites, in units of the cell vectors:
Ni1 0.000 0.000 0.000
Au1 0.500 0.500 0.500
O1 0.000 0.000 0.500
F1 0.000 0.500 0.000
F2 0.500 0.000 0.000